Here is SiOs2W after structural relaxation from Alexandria. Energies are from PBEsol.

POSCAR file:
```
SiOs2W
1.0
2.677 -4.331 0.000
2.677 4.331 0.000
-1.235 0.000 2.451
Si Os W
1 2 1
direct
0.000 0.000 0.000
0.000 0.500 0.500
0.500 0.000 0.500
0.500 0.500 0.000
```

Output
- Formation energy without anion corrections: 0.28 eV/atom
- Calculated density: 17.31 g cm⁻³
- Total magnetization: 0.0 μB/cell
- Volume: 14.21 Å³/atom